## Tb2Nd5Y2 (PBE)

Data for Tb2Nd5Y2 after structural relaxation.

```
data_Tb2Nd5Y2
_chemical_formula_sum 'Tb8 Nd20 Y8'
_cell_length_a 15.071
_cell_length_b 11.956
_cell_length_c 6.826
_cell_angle_alpha 90.00
_cell_angle_beta 90.00
_cell_angle_gamma 90.00
_space_group_name_H-M_alt 'I m a 2'
_space_group_IT_number 46
loop_
_space_group_symop_operation_xyz
'x,y,z'
'-x,-y,z'
'-x+1/2,y,z'
'x+1/2,-y,z'
'x+1/2,y+1/2,z+1/2'
'-x+1/2,-y+1/2,z+1/2'
'-x,y+1/2,z+1/2'
'x,-y+1/2,z+1/2'
loop_
_atom_site_label
_atom_site_type_symbol
_atom_site_fract_x
_atom_site_fract_y
_atom_site_fract_z
_atom_site_occupancy
Tb1 Tb 0.000 0.000 0.000 1
Tb2 Tb 0.250 0.001 0.030 1
Nd1 Nd 0.050 0.734 0.156 1
Nd2 Nd 0.144 0.227 0.826 1
Nd3 Nd 0.250 0.736 0.842 1
Y1 Y 0.128 0.009 0.485 1
```

Output
As for the raw total energy: -176.579 eV/cell. The value obtained for the density of states at the Fermi level is 12.5 states/eV/f.u. The calculation puts the excess energy over the best structure of this formula in the dataset at 0.193 eV/atom. For the mass density, the calculation gives 6.57 g/cm³. Its formation energy is 0.209 eV per atom.



## TbNd3Y12 (PBE)

Data for TbNd3Y12 after structural relaxation.

```
data_TbNd3Y12
_chemical_formula_sum 'Tb1 Nd3 Y12'
_cell_length_a 5.078
_cell_length_b 5.078
_cell_length_c 20.322
_cell_angle_alpha 90.00
_cell_angle_beta 90.00
_cell_angle_gamma 90.00
_space_group_name_H-M_alt 'P 4/m m m'
_space_group_IT_number 123
_space_group_name_Hall '-P 4 2'
loop_
_atom_site_label
_atom_site_type_symbol
_atom_site_fract_x
_atom_site_fract_y
_atom_site_fract_z
_atom_site_occupancy
Tb1 Tb 0.000 0.000 0.000 1
Nd1 Nd 0.000 0.000 0.249 1
Nd2 Nd 0.000 0.000 0.500 1
Y1 Y 0.000 0.500 0.123 1
Y2 Y 0.000 0.500 0.374 1
Y3 Y 0.500 0.500 0.000 1
Y4 Y 0.500 0.500 0.249 1
Y5 Y 0.500 0.500 0.500 1
```

Output
As for the raw total energy: -96.155 eV/cell. The value obtained for the density of states at the Fermi level is 23.8 states/eV/f.u. For the mass density, the calculation gives 5.26 g/cm³. Its formation energy is 0.022 eV per atom.



## Tb3Nd4Y2 (PBE)

Data for Tb3Nd4Y2 after structural relaxation.

```
data_Tb3Nd4Y2
_chemical_formula_sum 'Tb12 Nd16 Y8'
_cell_length_a 15.765
_cell_length_b 12.072
_cell_length_c 6.395
_cell_angle_alpha 90.00
_cell_angle_beta 93.35
_cell_angle_gamma 90.00
_space_group_name_H-M_alt 'C 1 2/c 1'
_space_group_IT_number 15
loop_
_space_group_symop_operation_xyz
'x,y,z'
'-x,-y,-z'
'-x,y,-z+1/2'
'x,-y,z+1/2'
'x+1/2,y+1/2,z'
'-x+1/2,-y+1/2,-z'
'-x+1/2,y+1/2,-z+1/2'
'x+1/2,-y+1/2,z+1/2'
loop_
_atom_site_label
_atom_site_type_symbol
_atom_site_fract_x
_atom_site_fract_y
_atom_site_fract_z
_atom_site_occupancy
Tb1 Tb 0.000 0.023 0.250 1
Tb2 Tb 0.100 0.421 0.413 1
Nd1 Nd 0.060 0.251 0.976 1
Nd2 Nd 0.172 0.145 0.578 1
Y1 Y 0.248 0.383 0.906 1
```

Output
As for the raw total energy: -178.553 eV/cell. The value obtained for the density of states at the Fermi level is 14.2 states/eV/f.u. The calculation puts the excess energy over the best structure of this formula in the dataset at 0.124 eV/atom. For the mass density, the calculation gives 6.73 g/cm³. Its formation energy is 0.139 eV per atom.



## Tb4Nd7Y (PBE)

Data for Tb4Nd7Y after structural relaxation.

```
data_Tb4Nd7Y
_chemical_formula_sum 'Tb4 Nd7 Y1'
_cell_length_a 6.348
_cell_length_b 7.324
_cell_length_c 9.037
_cell_angle_alpha 90.02
_cell_angle_beta 103.51
_cell_angle_gamma 90.00
_space_group_name_H-M_alt 'P -1'
_space_group_IT_number 2
loop_
_space_group_symop_operation_xyz
'x,y,z'
'-x,-y,-z'
loop_
_atom_site_label
_atom_site_type_symbol
_atom_site_fract_x
_atom_site_fract_y
_atom_site_fract_z
_atom_site_occupancy
Tb1 Tb 0.221 0.000 0.165 1
Tb2 Tb 0.278 0.248 0.833 1
Nd1 Nd 0.000 0.000 0.500 1
Nd2 Nd 0.222 0.500 0.165 1
Nd3 Nd 0.279 0.752 0.834 1
Nd4 Nd 0.499 0.248 0.501 1
Y1 Y 0.000 0.500 0.500 1
```

Output
As for the raw total energy: -58.288 eV/cell. The value obtained for the density of states at the Fermi level is 15.4 states/eV/f.u. The calculation puts the excess energy over the best structure of this formula in the dataset at 0.000 eV/atom. For the mass density, the calculation gives 7.05 g/cm³. Its formation energy is 0.006 eV per atom.



## Tb2Nd3Y4 (PBE)

Data for Tb2Nd3Y4 after structural relaxation.

```
data_Tb2Nd3Y4
_chemical_formula_sum 'Tb8 Nd12 Y16'
_cell_length_a 16.734
_cell_length_b 11.749
_cell_length_c 6.109
_cell_angle_alpha 90.00
_cell_angle_beta 97.41
_cell_angle_gamma 90.00
_space_group_name_H-M_alt 'C 1 2/c 1'
_space_group_IT_number 15
loop_
_space_group_symop_operation_xyz
'x,y,z'
'-x,-y,-z'
'-x,y,-z+1/2'
'x,-y,z+1/2'
'x+1/2,y+1/2,z'
'-x+1/2,-y+1/2,-z'
'-x+1/2,y+1/2,-z+1/2'
'x+1/2,-y+1/2,z+1/2'
loop_
_atom_site_label
_atom_site_type_symbol
_atom_site_fract_x
_atom_site_fract_y
_atom_site_fract_z
_atom_site_occupancy
Tb1 Tb 0.116 0.135 0.316 1
Nd1 Nd 0.000 0.104 0.750 1
Nd2 Nd 0.167 0.392 0.583 1
Y1 Y 0.050 0.367 0.019 1
Y2 Y 0.216 0.130 0.856 1
```

Output
As for the raw total energy: -194.209 eV/cell. The value obtained for the density of states at the Fermi level is 14.6 states/eV/f.u. The calculation puts the excess energy over the best structure of this formula in the dataset at 0.081 eV/atom. For the mass density, the calculation gives 6.17 g/cm³. Its formation energy is 0.096 eV per atom.



## Tb6Nd4Y (PBE)

Data for Tb6Nd4Y after structural relaxation.

```
data_Tb6Nd4Y
_chemical_formula_sum 'Tb12 Nd8 Y2'
_cell_length_a 6.688
_cell_length_b 6.688
_cell_length_c 17.102
_cell_angle_alpha 90.00
_cell_angle_beta 90.00
_cell_angle_gamma 90.00
_space_group_name_H-M_alt 'I -4 2 m'
_space_group_IT_number 121
_space_group_name_Hall 'I -4 2'
loop_
_atom_site_label
_atom_site_type_symbol
_atom_site_fract_x
_atom_site_fract_y
_atom_site_fract_z
_atom_site_occupancy
Tb1 Tb 0.000 0.500 0.000 1
Tb2 Tb 0.177 0.177 0.124 1
Nd1 Nd 0.190 0.190 0.323 1
Y1 Y 0.000 0.000 0.500 1
```

Output
As for the raw total energy: -100.128 eV/cell. The value obtained for the density of states at the Fermi level is 15.0 states/eV/f.u. The calculation puts the excess energy over the best structure of this formula in the dataset at 0.000 eV/atom. For the mass density, the calculation gives 7.03 g/cm³. Its formation energy is 0.296 eV per atom.